[1]
{
  "formula": "BaZrGa2Pt",
  "functional": "GGA-PBEsol",
  "state": "optimized geometry",
  "cell": [[5.297, 0.000, 0.000], [0.000, 5.297, 0.000], [0.000, 0.000, 5.315]],
  "species": ["Ba", "Zr", "Ga", "Ga", "Pt"],
  "fractional_positions": [[0.000, 0.000, 0.000], [0.000, 0.000, 0.500], [0.000, 0.500, 0.000], [0.500, 0.000, 0.000], [0.500, 0.500, 0.500]],
  "delta_e_f_ev_per_atom": 1.88
}

[2]
{
  "formula": "CaCuCl2",
  "functional": "GGA-PBEsol",
  "state": "optimized geometry",
  "cell": [[4.511, -1.995, 0.000], [4.511, 1.995, 0.000], [-0.701, 0.000, 5.095]],
  "species": ["Ca", "Cu", "Cl", "Cl"],
  "fractional_positions": [[0.000, 0.000, 0.000], [0.500, 0.500, 0.500], [0.324, 0.324, 0.767], [0.676, 0.676, 0.233]],
  "e_form_raw_ev_per_atom": -0.994,
  "de_polymorph_ev_per_atom": 0.000
}

[3]
{
  "formula": "LiBe2Ni",
  "functional": "GGA-PBEsol",
  "state": "optimized geometry",
  "cell": [[1.215, 0.701, 7.835], [-1.215, 0.701, 7.835], [0.000, -1.403, 7.835]],
  "species": ["Li", "Be", "Be", "Ni"],
  "fractional_positions": [[0.000, 0.000, 0.000], [0.241, 0.241, 0.241], [0.759, 0.759, 0.759], [0.500, 0.500, 0.500]],
  "delta_e_f_ev_per_atom": 0.01
}

[4]
{
  "formula": "MgTcTeI2",
  "functional": "GGA-PBEsol",
  "state": "optimized geometry",
  "cell": [[5.399, 0.000, 0.000], [0.000, 5.399, 0.000], [0.000, 0.000, 5.676]],
  "species": ["Mg", "Tc", "Te", "I", "I"],
  "fractional_positions": [[0.000, 0.000, 0.000], [0.500, 0.500, 0.500], [0.000, 0.000, 0.500], [0.000, 0.500, 0.000], [0.500, 0.000, 0.000]],
  "e_form_raw_ev_per_atom": 0.772
}

[5]
{
  "formula": "LiCuNi",
  "functional": "GGA-PBEsol",
  "state": "optimized geometry",
  "cell": [[0.000, 2.059, 6.291], [1.292, 0.000, 6.291], [1.292, 2.059, 0.000]],
  "species": ["Li", "Cu", "Ni"],
  "fractional_positions": [[0.000, 0.000, 0.000], [0.327, 0.327, 0.673], [0.663, 0.663, 0.337]],
  "delta_e_f_ev_per_atom": 0.03,
  "de_polymorph_ev_per_atom": 0.054
}

[6]
{
  "formula": "MgCuP",
  "functional": "GGA-PBEsol",
  "state": "optimized geometry",
  "cell": [[6.450, 0.000, 0.000], [0.000, 3.811, 0.000], [0.000, 0.000, 7.030]],
  "species": ["Mg", "Mg", "Mg", "Mg", "Cu", "Cu", "Cu", "Cu", "P", "P", "P", "P"],
  "fractional_positions": [[0.028, 0.250, 0.179], [0.472, 0.750, 0.679], [0.528, 0.250, 0.321], [0.972, 0.750, 0.821], [0.128, 0.250, 0.561], [0.372, 0.750, 0.061], [0.628, 0.250, 0.939], [0.872, 0.750, 0.439], [0.244, 0.750, 0.378], [0.256, 0.250, 0.878], [0.744, 0.750, 0.122], [0.756, 0.250, 0.622]],
  "delta_e_f_ev_per_atom": -0.46
}

[7]
{
  "formula": "BaTi2Bi",
  "functional": "GGA-PBEsol",
  "state": "optimized geometry",
  "cell": [[-2.446, 2.446, 10.291], [2.446, -2.446, 10.291], [2.446, 2.446, -10.291]],
  "species": ["Ba", "Ba", "Ti", "Ti", "Ti", "Ti", "Bi", "Bi"],
  "fractional_positions": [[0.375, 0.625, 0.750], [0.625, 0.375, 0.250], [0.000, 0.000, 0.000], [0.000, 0.000, 0.500], [0.000, 0.500, 0.000], [0.500, 0.000, 0.500], [0.125, 0.875, 0.250], [0.875, 0.125, 0.750]],
  "delta_e_f_ev_per_atom": 0.33
}

[8]
{
  "formula": "MgGa2Ru2",
  "functional": "GGA-PBEsol",
  "state": "optimized geometry",
  "cell": [[6.894, 0.000, 0.000], [0.000, 6.894, 0.000], [0.000, 0.000, 3.132]],
  "species": ["Mg", "Mg", "Ga", "Ga", "Ga", "Ga", "Ru", "Ru", "Ru", "Ru"],
  "fractional_positions": [[0.000, 0.000, 0.000], [0.500, 0.500, 0.000], [0.150, 0.350, 0.500], [0.350, 0.850, 0.500], [0.650, 0.150, 0.500], [0.850, 0.650, 0.500], [0.146, 0.646, 0.000], [0.354, 0.146, 0.000], [0.646, 0.854, 0.000], [0.854, 0.354, 0.000]],
  "delta_e_f_ev_per_atom": -0.23
}

[9]
{
  "formula": "LaMgCo2",
  "functional": "GGA-PBEsol",
  "state": "optimized geometry",
  "cell": [[-1.550, 2.257, 4.953], [1.550, -2.257, 4.953], [1.550, 2.257, -4.953]],
  "species": ["La", "Mg", "Co", "Co"],
  "fractional_positions": [[0.000, 0.000, 0.000], [0.287, 0.787, 0.500], [0.537, 0.537, 0.000], [0.720, 0.220, 0.500]],
  "delta_e_f_ev_per_atom": 0.22
}

[10]
{
  "formula": "HoBO3",
  "functional": "GGA-PBEsol",
  "state": "optimized geometry",
  "cell": [[3.429, 0.000, 0.000], [0.000, 3.429, 0.000], [0.000, 0.000, 3.429]],
  "species": ["Ho", "B", "O", "O", "O"],
  "fractional_positions": [[0.000, 0.000, 0.000], [0.500, 0.500, 0.500], [0.000, 0.500, 0.500], [0.500, 0.000, 0.500], [0.500, 0.500, 0.000]],
  "e_form_raw_ev_per_atom": -2.434
}

[11]
{
  "formula": "CrIr2Rh",
  "functional": "GGA-PBEsol",
  "state": "optimized geometry",
  "cell": [[-1.885, 1.885, 3.737], [1.885, -1.885, 3.737], [1.885, 1.885, -3.737]],
  "species": ["Cr", "Ir", "Ir", "Rh"],
  "fractional_positions": [[0.000, 0.000, 0.000], [0.250, 0.750, 0.500], [0.750, 0.250, 0.500], [0.500, 0.500, 0.000]],
  "delta_e_f_ev_per_atom": -0.14
}

[12]
{
  "formula": "ZrBr3O",
  "functional": "GGA-PBEsol",
  "state": "optimized geometry",
  "cell": [[5.196, 0.000, 0.000], [0.000, 5.196, 0.000], [0.000, 0.000, 5.196]],
  "species": ["Zr", "Br", "Br", "Br", "O"],
  "fractional_positions": [[0.000, 0.000, 0.000], [0.000, 0.000, 0.500], [0.000, 0.500, 0.000], [0.500, 0.000, 0.000], [0.500, 0.500, 0.500]],
  "e_form_raw_ev_per_atom": -0.343
}

[13]
{
  "formula": "La2AsRh",
  "functional": "GGA-PBEsol",
  "state": "optimized geometry",
  "cell": [[2.107, 1.216, 6.921], [-2.107, 1.216, 6.921], [0.000, -2.433, 6.921]],
  "species": ["La", "La", "As", "Rh"],
  "fractional_positions": [[0.246, 0.246, 0.246], [0.754, 0.754, 0.754], [0.000, 0.000, 0.000], [0.500, 0.500, 0.500]],
  "delta_e_f_ev_per_atom": -0.93
}

[14]
{
  "formula": "Cd2IrAu",
  "functional": "GGA-PBEsol",
  "state": "optimized geometry",
  "cell": [[1.449, 0.837, 9.475], [-1.449, 0.837, 9.475], [0.000, -1.673, 9.475]],
  "species": ["Cd", "Cd", "Ir", "Au"],
  "fractional_positions": [[0.000, 0.000, 0.000], [0.242, 0.242, 0.242], [0.497, 0.497, 0.497], [0.751, 0.751, 0.751]],
  "delta_e_f_ev_per_atom": 0.18,
  "de_polymorph_ev_per_atom": 0.152
}

[15]
{
  "formula": "ScRh3",
  "functional": "GGA-PBEsol",
  "state": "optimized geometry",
  "cell": [[2.751, -3.712, 0.000], [2.751, 3.712, 0.000], [0.000, 0.000, 2.835]],
  "species": ["Sc", "Rh", "Rh", "Rh"],
  "fractional_positions": [[0.000, 0.000, 0.000], [0.000, 0.500, 0.500], [0.500, 0.000, 0.500], [0.500, 0.500, 0.000]],
  "delta_e_f_ev_per_atom": -0.51
}

[16]
{
  "formula": "YMg2In",
  "functional": "GGA-PBEsol",
  "state": "optimized geometry",
  "cell": [[3.366, 0.000, 0.000], [0.000, 5.038, 0.000], [-0.707, 0.000, 5.786]],
  "species": ["Y", "Mg", "Mg", "In"],
  "fractional_positions": [[0.000, 0.000, 0.000], [0.375, 0.500, 0.746], [0.625, 0.500, 0.254], [0.500, 0.000, 0.500]],
  "delta_e_f_ev_per_atom": -0.18
}

[17]
{
  "formula": "ZnCd4Ga10S20",
  "functional": "GGA-PBEsol",
  "state": "optimized geometry",
  "cell": [[5.448, 0.000, 0.000], [-2.722, 5.795, 0.000], [-0.012, -1.213, 24.054]],
  "species": ["Zn", "Cd", "Cd", "Cd", "Cd", "Ga", "Ga", "Ga", "Ga", "Ga", "Ga", "Ga", "Ga", "Ga", "Ga", "S", "S", "S", "S", "S", "S", "S", "S", "S", "S", "S", "S", "S", "S", "S", "S", "S", "S", "S", "S"],
  "fractional_positions": [[0.000, 0.000, 0.000], [0.198, 0.389, 0.803], [0.404, 0.800, 0.601], [0.608, 0.210, 0.399], [0.818, 0.623, 0.197], [0.005, 0.002, 0.500], [0.117, 0.219, 0.146], [0.210, 0.411, 0.297], [0.296, 0.598, 0.953], [0.413, 0.822, 0.097], [0.501, 0.991, 0.753], [0.599, 0.192, 0.905], [0.705, 0.401, 0.551], [0.801, 0.592, 0.702], [0.909, 0.811, 0.349], [0.045, 0.535, 0.373], [0.086, 0.690, 0.518], [0.095, 0.695, 0.027], [0.186, 0.909, 0.683], [0.259, 0.950, 0.173], [0.290, 0.100, 0.316], [0.301, 0.059, 0.831], [0.390, 0.319, 0.481], [0.406, 0.306, 0.978], [0.497, 0.511, 0.115], [0.502, 0.467, 0.628], [0.595, 0.729, 0.278], [0.636, 0.716, 0.778], [0.692, 0.887, 0.925], [0.706, 0.876, 0.426], [0.809, 0.124, 0.074], [0.841, 0.126, 0.575], [0.882, 0.280, 0.720], [0.911, 0.287, 0.223], [0.979, 0.510, 0.883]],
  "e_form_raw_ev_per_atom": -0.705
}

[18]
{
  "formula": "BiSeClO3",
  "functional": "GGA-PBEsol",
  "state": "optimized geometry",
  "cell": [[6.412, 0.000, 0.000], [0.000, 7.901, 0.000], [0.000, 0.000, 8.702]],
  "species": ["Bi", "Bi", "Bi", "Bi", "Se", "Se", "Se", "Se", "Cl", "Cl", "Cl", "Cl", "O", "O", "O", "O", "O", "O", "O", "O", "O", "O", "O", "O"],
  "fractional_positions": [[0.029, 0.195, 0.328], [0.471, 0.805, 0.828], [0.529, 0.305, 0.672], [0.971, 0.695, 0.172], [0.150, 0.092, 0.954], [0.350, 0.908, 0.454], [0.650, 0.408, 0.046], [0.850, 0.592, 0.546], [0.249, 0.512, 0.855], [0.251, 0.488, 0.355], [0.749, 0.988, 0.145], [0.751, 0.012, 0.645], [0.118, 0.892, 0.352], [0.169, 0.872, 0.971], [0.242, 0.159, 0.130], [0.258, 0.841, 0.630], [0.331, 0.128, 0.471], [0.382, 0.108, 0.852], [0.618, 0.608, 0.648], [0.669, 0.628, 0.029], [0.742, 0.341, 0.870], [0.758, 0.659, 0.370], [0.831, 0.372, 0.529], [0.882, 0.392, 0.148]],
  "e_form_raw_ev_per_atom": -1.023
}

[19]
{
  "formula": "AgAuS2",
  "functional": "GGA-PBEsol",
  "state": "optimized geometry",
  "cell": [[0.000, 3.216, 3.216], [3.216, 0.000, 3.216], [3.216, 3.216, 0.000]],
  "species": ["Ag", "Au", "S", "S"],
  "fractional_positions": [[0.000, 0.000, 0.000], [0.500, 0.500, 0.500], [0.250, 0.250, 0.250], [0.750, 0.750, 0.750]],
  "e_form_raw_ev_per_atom": 0.484
}

[20]
{
  "formula": "LaIr3",
  "functional": "GGA-PBEsol",
  "state": "optimized geometry",
  "cell": [[2.671, 1.542, 8.791], [-2.671, 1.542, 8.791], [0.000, -3.085, 8.791]],
  "species": ["La", "La", "La", "Ir", "Ir", "Ir", "Ir", "Ir", "Ir", "Ir", "Ir", "Ir"],
  "fractional_positions": [[0.000, 0.000, 0.000], [0.140, 0.140, 0.140], [0.860, 0.860, 0.860], [0.084, 0.578, 0.578], [0.332, 0.332, 0.332], [0.422, 0.422, 0.916], [0.422, 0.916, 0.422], [0.500, 0.500, 0.500], [0.578, 0.084, 0.578], [0.578, 0.578, 0.084], [0.668, 0.668, 0.668], [0.916, 0.422, 0.422]],
  "delta_e_f_ev_per_atom": -0.49
}

Number 1: electronic total energy -3.099 eV per atom. Number 2: electronic total energy -3.615 eV per atom. Number 3: electronic total energy -4.018 eV per atom. Number 4: electronic total energy -3.237 eV per atom. Number 5: electronic total energy -4.118 eV per atom. Number 6: electronic total energy -4.405 eV per atom. Number 7: electronic total energy -5.444 eV per atom. Number 8: electronic total energy -5.979 eV per atom. Number 9: electronic total energy -5.415 eV per atom. Number 10: electronic total energy -7.976 eV per atom. Number 11: electronic total energy -9.644 eV per atom. Number 12: electronic total energy -4.333 eV per atom. Number 13: electronic total energy -6.914 eV per atom. Number 14: electronic total energy -3.856 eV per atom. Number 15: electronic total energy -8.261 eV per atom. Number 16: electronic total energy -3.491 eV per atom. Number 17: electronic total energy -4.347 eV per atom. Number 18: electronic total energy -5.339 eV per atom. Number 19: electronic total energy -3.517 eV per atom. Number 20: electronic total energy -9.196 eV per atom.